(one)
A relaxed LiMg2Ga6 crystal, computed with PBE.

```
data_LiMg2Ga6
_chemical_formula_sum 'Li1 Mg2 Ga6'
_symmetry_space_group_name_H-M 'P 6/m m m'
_symmetry_Int_Tables_number 191
_symmetry_space_group_name_Hall '-P 6 2'
_cell_length_a 7.8890
_cell_length_b 7.8890
_cell_length_c 3.0800
_cell_angle_alpha 90.00
_cell_angle_beta 90.00
_cell_angle_gamma 120.00
loop_
_atom_site_label
_atom_site_type_symbol
_atom_site_fract_x
_atom_site_fract_y
_atom_site_fract_z
_atom_site_occupancy
Li1 Li 0.0000 0.0000 0.0000 1
Mg1 Mg 0.3333 0.6667 0.0000 1
Ga1 Ga 0.0000 0.3308 0.5000 1
```

Output
Calculated volume: 166.0 Å³ per cell

=====

(two)
A relaxed LiMg2Ga6 crystal, computed with PBE.

```
data_LiMg2Ga6
_chemical_formula_sum 'Li2 Mg4 Ga12'
_symmetry_space_group_name_H-M 'C 1 2/m 1'
_symmetry_Int_Tables_number 12
_cell_length_a 12.979
_cell_length_b 7.180
_cell_length_c 4.047
_cell_angle_alpha 90.00
_cell_angle_beta 107.19
_cell_angle_gamma 90.00
loop_
_symmetry_equiv_pos_as_xyz
'x,y,z'
'-x,-y,-z'
'-x,y,-z'
'x,-y,z'
'x+1/2,y+1/2,z'
'-x+1/2,-y+1/2,-z'
'-x+1/2,y+1/2,-z'
'x+1/2,-y+1/2,z'
loop_
_atom_site_label
_atom_site_type_symbol
_atom_site_fract_x
_atom_site_fract_y
_atom_site_fract_z
_atom_site_occupancy
Li1 Li 0.000 0.000 0.000 1
Mg1 Mg 0.133 0.500 0.639 1
Ga1 Ga 0.000 0.193 0.500 1
Ga2 Ga 0.172 0.203 0.174 1
```

Output
Calculated volume: 360.3 Å³ per cell

=====

Bottom line: (one), by a margin of 0.136 eV/atom.

=====

(one)
A relaxed LiMgGa2Ni crystal, computed with PBE.

```
data_LiMgGa2Ni
_chemical_formula_sum 'Li1 Mg1 Ga2 Ni1'
_symmetry_space_group_name_H-M 'P 4/m m m'
_symmetry_Int_Tables_number 123
_symmetry_space_group_name_Hall '-P 4 2'
_cell_length_a 4.449
_cell_length_b 4.449
_cell_length_c 4.194
_cell_angle_alpha 90.00
_cell_angle_beta 90.00
_cell_angle_gamma 90.00
loop_
_atom_site_label
_atom_site_type_symbol
_atom_site_fract_x
_atom_site_fract_y
_atom_site_fract_z
_atom_site_occupancy
Li1 Li 0.000 0.000 0.000 1
Mg1 Mg 0.500 0.500 0.500 1
Ga1 Ga 0.000 0.500 0.000 1
Ni1 Ni 0.000 0.000 0.500 1
```

Output
Calculated volume: 83.0 Å³ per cell

=====

(two)
A relaxed LiMgGa2Ni crystal, computed with PBE.

```
data_LiMgGa2Ni
_chemical_formula_sum 'Li1 Mg1 Ga2 Ni1'
_symmetry_space_group_name_H-M 'P 4/m m m'
_symmetry_Int_Tables_number 123
_symmetry_space_group_name_Hall '-P 4 2'
_cell_length_a 4.547
_cell_length_b 4.547
_cell_length_c 4.778
_cell_angle_alpha 90.00
_cell_angle_beta 90.00
_cell_angle_gamma 90.00
loop_
_atom_site_label
_atom_site_type_symbol
_atom_site_fract_x
_atom_site_fract_y
_atom_site_fract_z
_atom_site_occupancy
Li1 Li 0.000 0.000 0.000 1
Mg1 Mg 0.500 0.500 0.000 1
Ga1 Ga 0.000 0.500 0.500 1
Ni1 Ni 0.500 0.500 0.500 1
```

Output
Calculated volume: 98.8 Å³ per cell

=====

Bottom line: (two), by a margin of 0.431 eV/atom.

=====

(one)
A relaxed Li2MgVGa crystal, computed with PBE.

```
data_Li2MgVGa
_chemical_formula_sum 'Li2 Mg1 V1 Ga1'
_symmetry_space_group_name_H-M 'P 4/m m m'
_symmetry_Int_Tables_number 123
_symmetry_space_group_name_Hall '-P 4 2'
_cell_length_a 4.618
_cell_length_b 4.618
_cell_length_c 4.947
_cell_angle_alpha 90.00
_cell_angle_beta 90.00
_cell_angle_gamma 90.00
loop_
_atom_site_label
_atom_site_type_symbol
_atom_site_fract_x
_atom_site_fract_y
_atom_site_fract_z
_atom_site_occupancy
Li1 Li 0.000 0.500 0.000 1
Mg1 Mg 0.000 0.000 0.500 1
V1 V 0.500 0.500 0.500 1
Ga1 Ga 0.000 0.000 0.000 1
```

Output
Calculated volume: 105.5 Å³ per cell

=====

(two)
A relaxed Li2MgVGa crystal, computed with PBE.

```
data_Li2MgVGa
_chemical_formula_sum 'Li2 Mg1 V1 Ga1'
_symmetry_space_group_name_H-M 'P 4/m m m'
_symmetry_Int_Tables_number 123
_symmetry_space_group_name_Hall '-P 4 2'
_cell_length_a 4.594
_cell_length_b 4.594
_cell_length_c 4.800
_cell_angle_alpha 90.00
_cell_angle_beta 90.00
_cell_angle_gamma 90.00
loop_
_atom_site_label
_atom_site_type_symbol
_atom_site_fract_x
_atom_site_fract_y
_atom_site_fract_z
_atom_site_occupancy
Li1 Li 0.000 0.500 0.000 1
Mg1 Mg 0.000 0.000 0.500 1
V1 V 0.500 0.500 0.500 1
Ga1 Ga 0.500 0.500 0.000 1
```

Output
Calculated volume: 101.3 Å³ per cell

=====

Bottom line: (two), by a margin of 0.344 eV/atom.

=====

(one)
A relaxed LiMnGa crystal, computed with PBE.

```
data_LiMnGa
_chemical_formula_sum 'Li4 Mn4 Ga4'
_symmetry_space_group_name_H-M 'I 4/m m m'
_symmetry_Int_Tables_number 139
_symmetry_space_group_name_Hall '-I 4 2'
_cell_length_a 2.742
_cell_length_b 2.742
_cell_length_c 23.296
_cell_angle_alpha 90.00
_cell_angle_beta 90.00
_cell_angle_gamma 90.00
loop_
_atom_site_label
_atom_site_type_symbol
_atom_site_fract_x
_atom_site_fract_y
_atom_site_fract_z
_atom_site_occupancy
Li1 Li 0.000 0.000 0.064 1
Mn1 Mn 0.000 0.000 0.223 1
Ga1 Ga 0.000 0.000 0.353 1
```

Output
Calculated volume: 175.2 Å³ per cell

=====

(two)
A relaxed LiMnGa crystal, computed with PBE.

```
data_LiMnGa
_chemical_formula_sum 'Li2 Mn2 Ga2'
_symmetry_space_group_name_H-M 'I 4 m m'
_symmetry_Int_Tables_number 107
_symmetry_space_group_name_Hall 'I 4 -2'
_cell_length_a 3.085
_cell_length_b 3.085
_cell_length_c 9.171
_cell_angle_alpha 90.00
_cell_angle_beta 90.00
_cell_angle_gamma 90.00
loop_
_atom_site_label
_atom_site_type_symbol
_atom_site_fract_x
_atom_site_fract_y
_atom_site_fract_z
_atom_site_occupancy
Li1 Li 0.000 0.000 0.000 1
Mn1 Mn 0.000 0.000 0.678 1
Ga1 Ga 0.000 0.000 0.342 1
```

Output
Calculated volume: 87.3 Å³ per cell

=====

(three)
A relaxed LiMnGa crystal, computed with PBE.

```
data_LiMnGa
_chemical_formula_sum 'Li2 Mn2 Ga2'
_symmetry_space_group_name_H-M 'P 1 2/m 1'
_symmetry_Int_Tables_number 10
_cell_length_a 4.062
_cell_length_b 3.694
_cell_length_c 6.010
_cell_angle_alpha 90.00
_cell_angle_beta 109.64
_cell_angle_gamma 90.00
loop_
_symmetry_equiv_pos_as_xyz
'x,y,z'
'-x,-y,-z'
'-x,y,-z'
'x,-y,z'
loop_
_atom_site_label
_atom_site_type_symbol
_atom_site_fract_x
_atom_site_fract_y
_atom_site_fract_z
_atom_site_occupancy
Li1 Li 0.172 0.000 0.345 1
Mn1 Mn 0.000 0.500 0.000 1
Mn2 Mn 0.500 0.000 0.000 1
Ga1 Ga 0.346 0.500 0.688 1
```

Output
Calculated volume: 84.9 Å³ per cell

=====

Bottom line: (one), by a margin of 0.086 eV/atom.